Record 1
DFT (PBE) results for a relaxed structure of TaVCu2Rh.

Unit cell a=4.6520 b=4.6520 c=4.5958 alpha=90.00 beta=90.00 gamma=90.00
With the nearest neighbours (Å) after each atom.
Space group P4/mmm (No. 123)
One atom of each set of equivalent atoms:
Ta: 0.0000 0.0000 0.0000 (multiplicity 1)  2 Rh 2.30, 4 Cu 2.33
V: 0.5000 0.5000 0.5000 (multiplicity 1)  8 Cu 3.27, 4 Rh 3.29
Cu: 0.0000 0.5000 0.0000 (multiplicity 2)  2 Ta 2.33
Rh: 0.0000 0.0000 0.5000 (multiplicity 1)  2 Ta 2.30

Summary:
calculated formation energy: 760 kJ/mol of formula units

Record 2
DFT (PBE) results for a relaxed structure of ZrTaCuRh.

Unit cell a=6.4600 b=6.4600 c=6.4600 alpha=90.00 beta=90.00 gamma=90.00
With the nearest neighbours (Å) after each atom.
Space group F-43m (No. 216)
One atom of each set of equivalent atoms:
Zr: 0.0000 0.0000 0.0000 (multiplicity 4)  4 Cu 2.80, 4 Rh 2.80
Ta: 0.0000 0.0000 0.5000 (multiplicity 4)  4 Rh 2.80, 4 Cu 2.80
Cu: 0.2500 0.2500 0.7500 (multiplicity 4)  4 Ta 2.80, 4 Zr 2.80
Rh: 0.2500 0.2500 0.2500 (multiplicity 4)  4 Zr 2.80, 4 Ta 2.80

Summary:
calculated formation energy: -71 kJ/mol of formula units

Record 3
DFT (PBE) results for a relaxed structure of ZrTaCu2Rh.

Unit cell a=4.6206 b=4.6206 c=4.6528 alpha=90.00 beta=90.00 gamma=90.00
With the nearest neighbours (Å) after each atom.
Space group P4/mmm (No. 123)
One atom of each set of equivalent atoms:
Zr: 0.0000 0.0000 0.0000 (multiplicity 1)  4 Ta 3.27, 8 Cu 3.28
Ta: 0.5000 0.5000 0.0000 (multiplicity 1)  2 Rh 2.33
Cu: 0.0000 0.5000 0.5000 (multiplicity 2)  2 Rh 2.31
Rh: 0.5000 0.5000 0.5000 (multiplicity 1)  4 Cu 2.31, 2 Ta 2.33

Summary:
calculated formation energy: 357 kJ/mol of formula units